! Ba2NaAuN | Alexandria | PBE | relaxed; values from VASP
&SYSTEM
  ibrav = 0, nat = 5, ntyp = 4
/
ATOMIC_SPECIES
Ba 137.33 Ba.upf
N 14.01 N.upf
Au 196.97 Au.upf
Na 22.99 Na.upf
ATOMIC_POSITIONS crystal
Ba 0.500 0.000 0.000
Ba 0.000 0.500 0.000
N 0.000 0.000 0.000
Au 0.500 0.500 0.500
Na 0.000 0.000 0.500
CELL_PARAMETERS angstrom
5.561 0.000 0.000
0.000 5.561 0.000
0.000 0.000 4.791
! Formation energy from raw total energies ... -30 kJ/mol of atoms
! Space group ... No. 123

! MnAg2Au | Alexandria | PBE | relaxed; values from VASP
&SYSTEM
  ibrav = 0, nat = 4, ntyp = 3
/
ATOMIC_SPECIES
Ag 107.87 Ag.upf
Au 196.97 Au.upf
Mn 54.94 Mn.upf
ATOMIC_POSITIONS crystal
Ag 0.996 0.996 0.005
Ag 0.504 0.504 0.495
Au 0.750 0.750 0.750
Mn 0.250 0.250 0.250
CELL_PARAMETERS angstrom
-0.360 -1.640 -4.788
-0.324 -4.082 -2.997
-4.764 -0.454 -0.523
! Formation enthalpy at 0 K ... 0.078 eV/atom
! Space group ... No. 12

! ErMn2Co9 | Alexandria | PBE | relaxed; values from VASP
&SYSTEM
  ibrav = 0, nat = 12, ntyp = 3
/
ATOMIC_SPECIES
Co 58.93 Co.upf
Er 167.26 Er.upf
Mn 54.94 Mn.upf
ATOMIC_POSITIONS crystal
Co 0.591 0.078 0.741
Co 0.500 0.500 0.500
Co 0.922 0.409 0.259
Co 0.664 0.664 0.008
Co 0.409 0.922 0.259
Co 0.078 0.591 0.741
Co 0.336 0.336 0.992
Co 0.591 0.591 0.741
Co 0.409 0.409 0.259
Er 0.000 0.000 0.000
Mn 0.145 0.145 0.566
Mn 0.855 0.855 0.434
CELL_PARAMETERS angstrom
-0.272 4.781 0.469
-3.543 1.965 2.595
3.168 1.879 7.364
! Formation enthalpy at 0 K ... -0.028 eV/atom
! Space group ... No. 166

! Ce6TeSe5 | Alexandria | PBE | relaxed; values from VASP
&SYSTEM
  ibrav = 0, nat = 12, ntyp = 3
/
ATOMIC_SPECIES
Se 78.96 Se.upf
Ce 140.12 Ce.upf
Te 127.60 Te.upf
ATOMIC_POSITIONS crystal
Se 0.000 0.332 0.335
Se 0.500 0.839 0.322
Se 0.500 0.500 0.000
Se 0.500 0.161 0.678
Se 0.000 0.668 0.665
Ce 0.260 0.568 0.346
Ce 0.255 0.261 0.000
Ce 0.740 0.087 0.346
Ce 0.745 0.739 0.000
Ce 0.740 0.432 0.654
Ce 0.260 0.913 0.654
Te 0.000 0.000 0.000
CELL_PARAMETERS angstrom
-1.037 6.176 -3.872
-6.019 3.453 2.439
0.543 4.954 5.416
! Formation energy from raw total energies ... -167 kJ/mol of atoms
! Space group ... No. 12

Number 1: E -3.66 eV per atom. Number 2: E -4.46 eV per atom. Number 3: E -7.27 eV per atom. Number 4: E -6.41 eV per atom.